A plane-wave DFT calculation with PBE was carried out for Pr5SnGe2 after structural relaxation.

Cell lengths 9.2104, 9.2104, 9.2104 Å; angles 127.64, 127.64, 77.21 degrees
Element x y z (fractional)
1 Pr 0.0000 0.0000 0.0000
2 Pr 0.0249 0.5249 0.8333
3 Pr 0.1916 0.0249 0.5000
4 Pr 0.3084 0.8084 0.8333
5 Pr 0.4751 0.3084 0.5000
6 Pr 0.5000 0.5000 0.0000
7 Pr 0.5249 0.6916 0.5000
8 Pr 0.6916 0.1916 0.1667
9 Pr 0.8084 0.9751 0.5000
10 Pr 0.9751 0.4751 0.1667
11 Sn 0.2500 0.2500 0.0000
12 Sn 0.7500 0.7500 0.0000
13 Ge 0.1327 0.3673 0.5000
14 Ge 0.3673 0.8673 0.2345
15 Ge 0.6327 0.1327 0.7655
16 Ge 0.8673 0.6327 0.5000

**Calculated volume**: 475.42 Å³/cell
**Theoretical density**: 6.8 g/cm3
**Uncorrected energy**: -5.34 eV/atom

A plane-wave DFT calculation with PBE was carried out for Sm2PdO4 after structural relaxation.

Cell lengths 6.8512, 6.8512, 6.8512 Å; angles 60.00, 60.00, 60.00 degrees
Element x y z (fractional)
1 Sm 0.0000 0.0000 0.0000
2 Sm 0.0000 0.0000 0.5000
3 Sm 0.0000 0.5000 0.0000
4 Sm 0.5000 0.0000 0.0000
5 Pd 0.3750 0.3750 0.3750
6 Pd 0.6250 0.6250 0.6250
7 O 0.2212 0.7596 0.7596
8 O 0.2404 0.2404 0.2404
9 O 0.2404 0.2404 0.7788
10 O 0.2404 0.7788 0.2404
11 O 0.7596 0.2212 0.7596
12 O 0.7596 0.7596 0.2212
13 O 0.7596 0.7596 0.7596
14 O 0.7788 0.2404 0.2404

**Distance to the lowest polymorph of the same formula**: 0.4318 eV/atom
**Calculated volume**: 227.40 Å³/cell
**Theoretical density**: 6.9 g/cm3